1.
Below is a relaxed PmNdSm2H crystal, with properties calculated at the PBE-GGA level. Values from VASP.

Values from the calculation:
DFT total energy = -4.64 eV per atom
crystal system = tetragonal
symmetry = No. 123
DOS(E_F) = 4.56 states/eV/f.u.

The structure in Quantum ESPRESSO input format:
```
&SYSTEM
  ibrav = 0, nat = 5, ntyp = 4
/
ATOMIC_SPECIES
Pm 145.00 Pm.upf
Nd 144.24 Nd.upf
Sm 150.36 Sm.upf
H 1.01 H.upf
ATOMIC_POSITIONS crystal
Pm 0.5000 0.0000 0.0000
Nd 0.5000 0.5000 0.5000
Sm 0.0000 0.0000 0.5000
Sm 0.0000 0.5000 0.0000
H 0.0000 0.0000 0.0000
CELL_PARAMETERS angstrom
-2.1998 -3.7535 2.7228
4.4272 -2.5901 0.0062
1.3695 2.3514 4.3479
```

2.
Below is a relaxed Tb3Pr2Th4 crystal, with properties calculated at the PBE-GGA level. Values from VASP.

Values from the calculation:
DFT total energy = -5.84 eV per atom
formation energy = 0.0623 eV per atom
crystal system = monoclinic
symmetry = No. 12
DOS(E_F) = 14.43 states/eV/f.u.

The structure in Quantum ESPRESSO input format:
```
&SYSTEM
  ibrav = 0, nat = 9, ntyp = 3
/
ATOMIC_SPECIES
Tb 158.93 Tb.upf
Pr 140.91 Pr.upf
Th 232.04 Th.upf
ATOMIC_POSITIONS crystal
Tb 0.8535 0.3349 0.7071
Tb 0.1465 0.6651 0.2929
Tb 0.0000 0.0000 0.0000
Pr 0.6635 0.9998 0.3269
Pr 0.3365 0.0002 0.6731
Th 0.8160 0.6589 0.6320
Th 0.1840 0.3411 0.3680
Th 0.4748 0.6628 0.9495
Th 0.5252 0.3372 0.0505
CELL_PARAMETERS angstrom
3.5308 0.0000 -0.7602
-0.7559 9.1050 -3.5108
0.2038 -0.6407 9.5261
```

3.
Below is a relaxed La2Tb2Tm15 crystal, with properties calculated at the PBE-GGA level. Values from VASP.

Values from the calculation:
DFT total energy = -4.25 eV per atom
formation energy = 0.2828 eV per atom
crystal system = trigonal
symmetry = No. 166
DOS(E_F) = 32.96 states/eV/f.u.

The structure in Quantum ESPRESSO input format:
```
&SYSTEM
  ibrav = 0, nat = 19, ntyp = 3
/
ATOMIC_SPECIES
La 138.91 La.upf
Tb 158.93 Tb.upf
Tm 168.93 Tm.upf
ATOMIC_POSITIONS crystal
La 0.8811 0.8811 0.8811
La 0.1189 0.1189 0.1189
Tb 0.6667 0.6667 0.6667
Tb 0.3333 0.3333 0.3333
Tm 0.0000 0.5000 0.0000
Tm 0.0000 0.0000 0.5000
Tm 0.5000 0.0000 0.0000
Tm 0.3070 0.0000 0.6930
Tm 0.6930 0.3070 0.0000
Tm 0.0000 0.6930 0.3070
Tm 0.3070 0.6930 0.0000
Tm 0.0000 0.3070 0.6930
Tm 0.6930 0.0000 0.3070
Tm 0.3661 0.8456 0.3661
Tm 0.3661 0.3661 0.8456
Tm 0.8456 0.3661 0.3661
Tm 0.6339 0.1544 0.6339
Tm 0.6339 0.6339 0.1544
Tm 0.1544 0.6339 0.6339
CELL_PARAMETERS angstrom
-5.5102 -3.3710 -5.7506
5.0152 -6.1826 -3.3792
-2.8360 -6.8111 4.5123
```

4.
Below is a relaxed KNaRh3 crystal, with properties calculated at the PBE-GGA level. Values from VASP.

Values from the calculation:
DFT total energy = -3.35 eV per atom
formation energy = 1.5469 eV per atom
crystal system = cubic
symmetry = No. 221
DOS(E_F) = 11.94 states/eV/f.u.
distance to the lowest polymorph of the same formula = 0.0 kJ per mole of atoms

The structure in Quantum ESPRESSO input format:
```
&SYSTEM
  ibrav = 0, nat = 5, ntyp = 3
/
ATOMIC_SPECIES
Na 22.99 Na.upf
K 39.10 K.upf
Rh 102.91 Rh.upf
ATOMIC_POSITIONS crystal
Na 0.0000 0.0000 0.0000
K 0.5000 0.5000 0.5000
Rh 0.0000 0.5000 0.0000
Rh 0.0000 0.0000 0.5000
Rh 0.5000 0.0000 0.0000
CELL_PARAMETERS angstrom
-2.0245 3.1076 -3.1409
-4.4149 -1.5600 1.3022
-0.1755 3.3956 3.4728
```

5.
Below is a relaxed LiPaSe4 crystal, with properties calculated at the PBE-GGA level. Values from VASP.

Values from the calculation:
DFT total energy = -5.25 eV per atom
crystal system = monoclinic
formation energy from raw total energies = -1030 meV/atom
symmetry = No. 12
DOS(E_F) = 1.01 states/eV/f.u.
distance to the lowest polymorph of the same formula = 1.5 kJ per mole of atoms

The structure in Quantum ESPRESSO input format:
```
&SYSTEM
  ibrav = 0, nat = 12, ntyp = 3
/
ATOMIC_SPECIES
Li 6.94 Li.upf
Pa 231.04 Pa.upf
Se 78.96 Se.upf
ATOMIC_POSITIONS crystal
Li 0.5000 0.5000 0.0000
Li 0.0000 0.0000 0.0000
Pa 0.0000 0.5000 0.5000
Pa 0.5000 0.0000 0.5000
Se 0.2490 0.7025 0.2569
Se 0.2510 0.2025 0.2569
Se 0.7509 0.7019 0.2570
Se 0.2509 0.7981 0.7430
Se 0.7491 0.2019 0.2570
Se 0.2491 0.2981 0.7430
Se 0.7490 0.7975 0.7431
Se 0.7510 0.2975 0.7431
CELL_PARAMETERS angstrom
-4.9597 1.2898 5.0490
2.9403 -3.3025 3.7319
3.1453 6.4754 1.4355
```